--- A ---
TaBeNiAg: relaxed, PBE.

Cell lengths 4.2824, 4.2824, 4.2824 Å; angles 60.00, 60.00, 60.00 degrees
Sites, in units of the cell vectors:
Be 0.7500 0.7500 0.7500
Ni 0.5000 0.5000 0.5000
Ag 0.2500 0.2500 0.2500
Ta 0.0000 0.0000 0.0000

Mass density ... 10.7 Mg/m³
Space-group type ... F-43m, No. 216



--- B ---
TaBeNiAg: relaxed, PBE.

Cell lengths 4.2394, 4.2394, 4.2394 Å; angles 60.00, 60.00, 60.00 degrees
Sites, in units of the cell vectors:
Be 0.7500 0.7500 0.7500
Ag 0.5000 0.5000 0.5000
Ta 0.0000 0.0000 0.0000
Ni 0.2500 0.2500 0.2500

Mass density ... 11.0 Mg/m³
Space-group type ... F-43m, No. 216



Going by the computed energies, the most stable comes first: B, A.



--- A ---
Cu: relaxed, PBE.

Cell lengths 2.7105, 3.9858, 4.8868 Å; angles 65.93, 90.00, 90.00 degrees
Sites, in units of the cell vectors:
Cu 0.5013 0.8665 0.2669
Cu 0.4987 0.1335 0.7331
Cu 0.9987 0.3666 0.2669
Cu 0.0013 0.6334 0.7331

Mass density ... 8.8 Mg/m³
Space-group type ... Cmce, No. 64



--- B ---
Cu: relaxed, PBE.

Cell lengths 14.5994, 14.5994, 14.5994 Å; angles 9.94, 9.94, 9.94 degrees
Sites, in units of the cell vectors:
Cu 0.0715 0.0715 0.0715
Cu 0.9285 0.9285 0.9285
Cu 0.6428 0.6428 0.6428
Cu 0.3572 0.3572 0.3572

Mass density ... 5.2 Mg/m³
Space-group type ... R-3m, No. 166



Going by the computed energies, the most stable comes first: A, B.



--- A ---
Ta5Co7: relaxed, PBE.

Cell lengths 5.0111, 5.0111, 16.7483 Å; angles 90.00, 90.00, 120.00 degrees
Sites, in units of the cell vectors:
Co 0.6667 0.3333 0.1492
Co 0.0000 0.5000 0.5000
Co 0.6667 0.3333 0.3508
Co 0.0000 0.0000 0.9055
Co 0.5000 0.0000 0.5000
Co 0.3333 0.6667 0.6492
Co 0.5000 0.5000 0.0000
Co 0.0000 0.0000 0.4055
Co 0.5000 0.0000 0.0000
Co 0.0000 0.5000 0.0000
Co 0.0000 0.0000 0.5945
Co 0.3333 0.6667 0.8508
Co 0.0000 0.0000 0.0945
Co 0.5000 0.5000 0.5000
Ta 0.1656 0.8344 0.2500
Ta 0.8344 0.6687 0.7500
Ta 0.1656 0.3313 0.2500
Ta 0.3313 0.1656 0.7500
Ta 0.3333 0.6667 0.3896
Ta 0.6667 0.3333 0.6104
Ta 0.8344 0.1656 0.7500
Ta 0.6667 0.3333 0.8896
Ta 0.6687 0.8344 0.2500
Ta 0.3333 0.6667 0.1104

Mass density ... 12.0 Mg/m³
Space-group type ... P6_3/mmc, No. 194



--- B ---
Ta5Co7: relaxed, PBE.

Cell lengths 5.0260, 5.0260, 16.2402 Å; angles 90.00, 90.00, 120.00 degrees
Sites, in units of the cell vectors:
Ta 0.0000 0.5000 0.0000
Ta 0.5000 0.5000 0.5000
Ta 0.6667 0.3333 0.6459
Ta 0.3333 0.6667 0.1459
Ta 0.5000 0.0000 0.5000
Ta 0.3333 0.6667 0.3541
Ta 0.6667 0.3333 0.8541
Ta 0.5000 0.5000 0.0000
Ta 0.0000 0.5000 0.5000
Ta 0.5000 0.0000 0.0000
Co 0.6667 0.3333 0.1581
Co 0.7021 0.8510 0.2500
Co 0.3333 0.6667 0.8419
Co 0.0000 0.0000 0.9109
Co 0.2979 0.1490 0.7500
Co 0.0000 0.0000 0.5891
Co 0.8510 0.7021 0.7500
Co 0.0000 0.0000 0.4109
Co 0.1490 0.8510 0.2500
Co 0.6667 0.3333 0.3419
Co 0.3333 0.6667 0.6581
Co 0.0000 0.0000 0.0891
Co 0.8510 0.1490 0.7500
Co 0.1490 0.2979 0.2500

Mass density ... 12.3 Mg/m³
Space-group type ... P6_3/mmc, No. 194



Going by the computed energies, the most stable comes first: B, A.



--- A ---
Cu7Ag3: relaxed, PBE.

Cell lengths 11.0021, 11.0021, 4.6267 Å; angles 95.03, 95.03, 14.26 degrees
Sites, in units of the cell vectors:
Ag 0.1024 0.1024 0.7130
Ag 0.4934 0.4934 0.4929
Ag 0.2043 0.2043 0.3943
Cu 0.3029 0.3029 0.0918
Cu 0.3974 0.3974 0.8090
Cu 0.8056 0.8056 0.6099
Cu 0.9964 0.9964 0.9989
Cu 0.7072 0.7072 0.9023
Cu 0.5971 0.5971 0.2001
Cu 0.8935 0.8935 0.2878

Mass density ... 9.3 Mg/m³
Space-group type ... Cm, No. 8



--- B ---
Cu7Ag3: relaxed, PBE.

Cell lengths 9.3209, 9.3209, 5.4968 Å; angles 98.50, 98.50, 16.95 degrees
Sites, in units of the cell vectors:
Cu 0.9873 0.9873 0.4994
Cu 0.8095 0.8095 0.9211
Cu 0.8091 0.8091 0.3878
Cu 0.4009 0.4009 0.2014
Cu 0.9864 0.9864 0.9875
Cu 0.2109 0.2109 0.1053
Cu 0.3955 0.3955 0.6970
Ag 0.5949 0.5949 0.8011
Ag 0.2118 0.2118 0.6059
Ag 0.5938 0.5938 0.2935

Mass density ... 9.3 Mg/m³
Space-group type ... Cm, No. 8



--- C ---
Cu7Ag3: relaxed, PBE.

Cell lengths 11.0370, 11.0370, 4.6207 Å; angles 94.20, 94.20, 14.21 degrees
Sites, in units of the cell vectors:
Ag 0.8927 0.8927 0.2909
Ag 0.5000 0.5000 0.5000
Ag 0.1073 0.1073 0.7091
Cu 0.2946 0.2946 0.0895
Cu 0.2034 0.2034 0.3926
Cu 0.3964 0.3964 0.7985
Cu 0.7966 0.7966 0.6074
Cu 0.0000 0.0000 0.0000
Cu 0.7054 0.7054 0.9105
Cu 0.6036 0.6036 0.2015

Mass density ... 9.3 Mg/m³
Space-group type ... C2/m, No. 12



Going by the computed energies, the most stable comes first: B, A, C.



--- A ---
SiW2: relaxed, PBE.

Cell lengths 4.8939, 4.8939, 4.8939 Å; angles 104.72, 104.72, 119.47 degrees
Sites, in units of the cell vectors:
Si 0.7500 0.7500 0.0000
Si 0.2500 0.2500 0.0000
W 0.8408 0.3408 0.1815
W 0.3408 0.1592 0.5000
W 0.6592 0.8408 0.5000
W 0.1592 0.6592 0.8185

Mass density ... 14.9 Mg/m³
Space-group type ... I4/mcm, No. 140



--- B ---
SiW2: relaxed, PBE.

Cell lengths 9.4766, 8.8140, 4.9068 Å; angles 82.05, 67.10, 30.85 degrees
Sites, in units of the cell vectors:
Si 0.1239 0.1239 0.8761
Si 0.1261 0.1261 0.3739
Si 0.8761 0.8761 0.1239
Si 0.3739 0.3739 0.1261
W 0.8288 0.1712 0.8288
W 0.8295 0.8295 0.6705
W 0.4212 0.0788 0.4212
W 0.0788 0.4212 0.0788
W 0.1712 0.8288 0.1712
W 0.6705 0.6705 0.8295
W 0.5795 0.5795 0.4205
W 0.4205 0.4205 0.5795

Mass density ... 14.9 Mg/m³
Space-group type ... Fddd, No. 70



Going by the computed energies, the most stable comes first: B, A.



--- A ---
Ag2Ge2O5: relaxed, PBE.

Cell lengths 9.7736, 3.3768, 3.3768 Å; angles 90.00, 90.00, 90.00 degrees
Sites, in units of the cell vectors:
O 0.8826 0.5000 0.0000
O 0.1174 0.5000 0.0000
O 0.8826 0.0000 0.5000
O 0.1174 0.0000 0.5000
O 0.5000 0.5000 0.5000
Ge 0.0000 0.0000 0.0000
Ge 0.5000 0.0000 0.0000
Ag 0.2736 0.5000 0.5000
Ag 0.7264 0.5000 0.5000

Mass density ... 6.6 Mg/m³
Space-group type ... P4/mmm, No. 123



--- B ---
Ag2Ge2O5: relaxed, PBE.

Cell lengths 11.0363, 10.1443, 12.2649 Å; angles 90.00, 94.61, 90.00 degrees
Sites, in units of the cell vectors:
Ge 0.7007 0.3838 0.6016
Ge 0.4125 0.0343 0.7032
Ge 0.6079 0.4211 0.0356
Ge 0.1247 0.9640 0.2997
Ge 0.5875 0.5343 0.7968
Ge 0.6079 0.0789 0.5356
Ge 0.3921 0.9211 0.4644
Ge 0.8753 0.4640 0.2003
Ge 0.7007 0.1162 0.1016
Ge 0.2993 0.6162 0.3984
Ge 0.5875 0.9657 0.2968
Ge 0.9632 0.1671 0.1472
Ge 0.1284 0.9904 0.0472
Ge 0.8753 0.0360 0.7003
Ge 0.0368 0.8329 0.8528
Ge 0.8716 0.4904 0.4528
Ge 0.8716 0.0096 0.9528
Ge 0.2993 0.8838 0.8984
Ge 0.1284 0.5096 0.5472
Ge 0.1247 0.5360 0.7997
Ge 0.4125 0.4657 0.2032
Ge 0.3921 0.5789 0.9644
Ge 0.0368 0.6671 0.3528
Ge 0.9632 0.3329 0.6472
O 0.1351 0.6825 0.4885
O 0.3221 0.3228 0.2080
O 0.5644 0.6002 0.0106
O 0.4356 0.3998 0.9894
O 0.6575 0.0825 0.3899
O 0.4356 0.1002 0.4894
O 0.0418 0.3841 0.7910
O 0.5673 0.4303 0.1831
O 0.2039 0.5599 0.6830
O 0.0331 0.4790 0.4016
O 0.4327 0.5697 0.8169
O 0.9582 0.6159 0.2090
O 0.4275 0.5485 0.3312
O 0.9669 0.5210 0.5984
O 0.9669 0.9790 0.0984
O 0.3854 0.7389 0.4698
O 0.2253 0.5275 0.9213
O 0.3854 0.7611 0.9698
O 0.7961 0.4401 0.3170
O 0.2739 0.0231 0.9831
O 0.6146 0.2611 0.5302
O 0.1131 0.1669 0.0860
O 0.6146 0.2389 0.0302
O 0.6575 0.4175 0.8899
O 0.1874 0.6495 0.2893
O 0.4327 0.9303 0.3169
O 0.9861 0.1544 0.6742
O 0.9861 0.3456 0.1742
O 0.1874 0.8505 0.7893
O 0.7261 0.9769 0.0169
O 0.0418 0.1159 0.2910
O 0.3425 0.9175 0.6101
O 0.8126 0.3505 0.7107
O 0.0331 0.0210 0.9016
O 0.5725 0.4515 0.6688
O 0.3425 0.5825 0.1101
O 0.8869 0.6669 0.4140
O 0.2739 0.4769 0.4831
O 0.2253 0.9725 0.4213
O 0.7961 0.0599 0.8170
O 0.1131 0.3331 0.5860
O 0.8126 0.1495 0.2107
O 0.2039 0.9401 0.1830
O 0.5644 0.8998 0.5106
O 0.7261 0.5231 0.5169
O 0.6779 0.8228 0.2920
O 0.8649 0.3175 0.5115
O 0.8649 0.1825 0.0115
O 0.0139 0.6544 0.8258
O 0.6779 0.6772 0.7920
O 0.7747 0.0275 0.5787
O 0.7747 0.4725 0.0787
O 0.1351 0.8175 0.9885
O 0.8869 0.8331 0.9140
O 0.0139 0.8456 0.3258
O 0.3221 0.1772 0.7080
O 0.4275 0.9515 0.8312
O 0.9582 0.8841 0.7090
O 0.5725 0.0485 0.1688
O 0.5673 0.0697 0.6831
Ag 0.6337 0.2954 0.3262
Ag 0.6147 0.7140 0.1510
Ag 0.3663 0.7046 0.6738
Ag 0.3853 0.2860 0.8490
Ag 0.8244 0.8469 0.4837
Ag 0.3979 0.1664 0.0800
Ag 0.8884 0.3759 0.9131
Ag 0.3663 0.7954 0.1738
Ag 0.6021 0.6664 0.4200
Ag 0.1116 0.6241 0.0869
Ag 0.6147 0.7860 0.6510
Ag 0.1756 0.1531 0.5163
Ag 0.8471 0.6767 0.6797
Ag 0.8884 0.1241 0.4131
Ag 0.1529 0.1767 0.8203
Ag 0.3853 0.2140 0.3490
Ag 0.8471 0.8233 0.1797
Ag 0.6337 0.2046 0.8262
Ag 0.3979 0.3336 0.5800
Ag 0.1116 0.8759 0.5869
Ag 0.1756 0.3469 0.0163
Ag 0.6021 0.8336 0.9200
Ag 0.8244 0.6531 0.9837
Ag 0.1529 0.3233 0.3203

Mass density ... 6.4 Mg/m³
Space-group type ... P2_1/c, No. 14



Going by the computed energies, the most stable comes first: B, A.



--- A ---
YNiB: relaxed, PBE.

Cell lengths 6.7225, 3.7312, 6.9293 Å; angles 90.00, 90.00, 90.00 degrees
Sites, in units of the cell vectors:
B 0.2072 0.2500 0.0749
B 0.2928 0.7500 0.5749
B 0.7928 0.7500 0.9251
B 0.7072 0.2500 0.4251
Y 0.5005 0.2500 0.7892
Y 0.0005 0.2500 0.7108
Y 0.4995 0.7500 0.2108
Y 0.9995 0.7500 0.2892
Ni 0.3102 0.2500 0.4365
Ni 0.1899 0.7500 0.9365
Ni 0.8102 0.2500 0.0635
Ni 0.6898 0.7500 0.5635

Mass density ... 6.1 Mg/m³
Space-group type ... Pnma, No. 62



--- B ---
YNiB: relaxed, PBE.

Cell lengths 6.2455, 3.5218, 8.1991 Å; angles 90.00, 90.00, 90.00 degrees
Sites, in units of the cell vectors:
B 0.1963 0.2500 0.5707
B 0.6963 0.2500 0.9293
B 0.3037 0.7500 0.0707
B 0.8037 0.7500 0.4293
Y 0.5205 0.7500 0.6856
Y 0.4795 0.2500 0.3143
Y 0.9795 0.2500 0.1856
Y 0.0205 0.7500 0.8143
Ni 0.3665 0.2500 0.9686
Ni 0.6335 0.7500 0.0314
Ni 0.8665 0.2500 0.5314
Ni 0.1335 0.7500 0.4686

Mass density ... 5.8 Mg/m³
Space-group type ... Pnma, No. 62



Going by the computed energies, the most stable comes first: B, A.